No. 1
This record from Alexandria via LeMat-Bulk describes a geometry-optimized Tm2SbRu structure. The functional is GGA-PBE.

Unit cell a=3.3696 b=3.3696 c=8.0212 alpha=90.00 beta=90.00 gamma=90.00
Last column: nearest neighbours and their distance in Å.
Space group P4/mmm (No. 123)
Inequivalent atoms, fractional coordinates:
Tm (0.0000, 0.0000, 0.2049) (multiplicity 2)  4 Ru 2.89
Sb (0.5000, 0.5000, 0.5000) (multiplicity 1)  8 Tm 3.36, 4 Sb 3.37
Ru (0.5000, 0.5000, 0.0000) (multiplicity 1)  8 Tm 2.89

## Properties
Formation energy (no corrections) (eV per atom): -0.631
Density (g/cm3): 10.22
ΔE to the lowest computed polymorph (eV per atom): 0.000



No. 2
This record from Alexandria via LeMat-Bulk describes a geometry-optimized Tm6Sb3Ru structure. The functional is GGA-PBE.

Unit cell a=10.9733 b=14.2491 c=7.4368 alpha=90.00 beta=90.00 gamma=90.00
Last column: nearest neighbours and their distance in Å.
Space group Cmc2_1 (No. 36)
Inequivalent atoms, fractional coordinates:
Tm (0.0000, 0.0062, 0.0000) (multiplicity 4)  2 Ru 2.69-2.75
Tm (0.0000, 0.2456, 0.5443) (multiplicity 4)  1 Ru 2.62
Tm (0.1550, 0.2494, 0.0718) (multiplicity 8)  1 Ru 2.69
Tm (0.1713, 0.4584, 0.5839) (multiplicity 8)  4 Sb 2.99-3.11
Sb (0.0000, 0.4011, 0.8875) (multiplicity 4)  7 Tm 3.05-3.38
Sb (0.1821, 0.1105, 0.7581) (multiplicity 8)  7 Tm 2.99-3.23
Ru (0.0000, 0.1394, 0.2572) (multiplicity 4)  5 Tm 2.62-2.75

## Properties
Formation energy (no corrections) (eV per atom): -0.513
Density (g/cm3): 8.45



No. 3
This record from Alexandria via LeMat-Bulk describes a geometry-optimized U4SbRu structure. The functional is GGA-PBE.

Unit cell a=5.3273 b=5.3691 c=9.2388 alpha=85.65 beta=84.00 gamma=71.78
Last column: nearest neighbours and their distance in Å.
Space group P-1 (No. 2)
Inequivalent atoms, fractional coordinates:
U (0.0576, 0.4469, 0.3348) (multiplicity 2)  1 U 2.56, 1 Ru 2.83
U (0.2708, 0.7886, 0.2174) (multiplicity 2)  3 U 2.56-2.62
U (0.3875, 0.0731, 0.6487) (multiplicity 2)  3 U 2.62-2.91, 2 Ru 2.74-2.78
U (0.3970, 0.6730, 0.8413) (multiplicity 2)  2 U 2.61-2.68
Sb (0.1855, 0.2191, 0.9734) (multiplicity 2)  9 U 3.07-3.40, 1 Sb 3.09
Ru (0.0000, 0.0000, 0.5000) (multiplicity 1)  6 U 2.74-2.97
Ru (0.5000, 0.5000, 0.5000) (multiplicity 1)  6 U 2.78-3.09

## Properties
Formation energy (no corrections) (eV per atom): -0.071
Density (g/cm3): 15.65



No. 4
This record from Alexandria via LeMat-Bulk describes a geometry-optimized USb12Ru4 structure. The functional is GGA-PBE.

Unit cell a=9.3562 b=9.3562 c=9.3562 alpha=90.00 beta=90.00 gamma=90.00
Last column: nearest neighbours and their distance in Å.
Space group Im-3 (No. 204)
Inequivalent atoms, fractional coordinates:
U (0.0000, 0.0000, 0.0000) (multiplicity 2)  12 Sb 3.48
Sb (0.0000, 0.3371, 0.1574) (multiplicity 24)  2 Ru 2.62
Ru (0.2500, 0.2500, 0.2500) (multiplicity 8)  6 Sb 2.62

## Properties
Formation energy (no corrections) (eV per atom): -0.224
Density (g/cm3): 8.53



No. 5
This record from Alexandria via LeMat-Bulk describes a geometry-optimized U3SbRu3 structure. The functional is GGA-PBE.

Unit cell a=8.2080 b=8.2080 c=8.2080 alpha=90.00 beta=90.00 gamma=90.00
Last column: nearest neighbours and their distance in Å.
Space group P2_13 (No. 198)
Inequivalent atoms, fractional coordinates:
U (0.0466, 0.4534, 0.5466) (multiplicity 4)  6 Ru 2.72-2.94
U (0.1433, 0.8567, 0.3567) (multiplicity 4)  6 Ru 2.74-3.02
U (0.1961, 0.1961, 0.1961) (multiplicity 4)  6 Ru 2.89-3.19, 3 U 3.11, 1 Sb 3.23
Sb (0.0764, 0.5764, 0.9236) (multiplicity 4)  6 Ru 2.75-2.80
Ru (0.0423, 0.2530, 0.8434) (multiplicity 12)  5 U 2.72-3.02, 2 Sb 2.75-2.80

## Properties
Formation energy (no corrections) (eV per atom): -0.124
Density (g/cm3): 13.68



No. 6
This record from Alexandria via LeMat-Bulk describes a geometry-optimized U2SbRu2 structure. The functional is GGA-PBE.

Unit cell a=4.3064 b=14.4985 c=3.1911 alpha=90.00 beta=90.00 gamma=90.00
Last column: nearest neighbours and their distance in Å.
Space group Cmmm (No. 65)
Inequivalent atoms, fractional coordinates:
U (0.0000, 0.1944, 0.0000) (multiplicity 4)  2 U 2.69, 6 Ru 2.84-3.01
Sb (0.0000, 0.0000, 0.5000) (multiplicity 2)  4 Ru 2.86, 2 Sb 3.19
Ru (0.0000, 0.3701, 0.5000) (multiplicity 4)  6 U 2.84-3.01, 2 Sb 2.86

## Properties
Formation energy (no corrections) (eV per atom): -0.153
Density (g/cm3): 13.33



No. 7
This record from Alexandria via LeMat-Bulk describes a geometry-optimized U2SbRu structure. The functional is GGA-PBE.

Unit cell a=4.0055 b=10.5283 c=8.1757 alpha=90.00 beta=90.00 gamma=90.00
Last column: nearest neighbours and their distance in Å.
Space group Cmcm (No. 63)
Inequivalent atoms, fractional coordinates:
U (0.0000, 0.1145, 0.0467) (multiplicity 8)  1 U 2.53, 2 Ru 2.83
Sb (0.0000, 0.4277, 0.2500) (multiplicity 4)  3 Ru 2.96-3.08, 8 U 3.18-3.26
Ru (0.0000, 0.2799, 0.7500) (multiplicity 4)  6 U 2.83-2.99, 3 Sb 2.96-3.08

## Properties
Formation energy (no corrections) (eV per atom): -0.207
Density (g/cm3): 13.46
ΔE to the lowest computed polymorph (eV per atom): 0.000



No. 8
This record from Alexandria via LeMat-Bulk describes a geometry-optimized U2SbRu structure. The functional is GGA-PBE.

Unit cell a=4.0075 b=4.0075 c=21.4181 alpha=90.00 beta=90.00 gamma=120.00
Last column: nearest neighbours and their distance in Å.
Space group R-3m (No. 166, hexagonal axes)
Inequivalent atoms, fractional coordinates:
U (0.0000, 0.0000, 0.2359) (multiplicity 6)  3 Ru 2.75
Sb (0.0000, 0.0000, 0.0000) (multiplicity 3)  6 U 3.12
Ru (0.0000, 0.0000, 0.5000) (multiplicity 3)  6 U 2.75

## Properties
Formation energy (no corrections) (eV per atom): -0.069
Density (g/cm3): 11.69
ΔE to the lowest computed polymorph (eV per atom): 0.139



No. 9
This record from Alexandria via LeMat-Bulk describes a geometry-optimized VSb2Ru structure. The functional is GGA-PBE.

Unit cell a=6.1251 b=6.1251 c=11.8844 alpha=90.00 beta=90.00 gamma=90.00
Last column: nearest neighbours and their distance in Å.
Space group I-42d (No. 122)
Inequivalent atoms, fractional coordinates:
V (0.0000, 0.0000, 0.0000) (multiplicity 4)  4 Sb 2.71
Sb (0.2267, 0.2500, 0.6250) (multiplicity 8)  2 Ru 2.55, 2 V 2.71
Ru (0.0000, 0.0000, 0.5000) (multiplicity 4)  4 Sb 2.55

## Properties
Formation energy (no corrections) (eV per atom): 0.605
Density (g/cm3): 5.89
ΔE to the lowest computed polymorph (eV per atom): 0.481



No. 10
This record from Alexandria via LeMat-Bulk describes a geometry-optimized VSb2Ru structure. The functional is GGA-PBE.

Unit cell a=3.1402 b=3.1402 c=27.6010 alpha=90.00 beta=90.00 gamma=120.00
Last column: nearest neighbours and their distance in Å.
Space group R-3m (No. 166, hexagonal axes)
Inequivalent atoms, fractional coordinates:
V (0.0000, 0.0000, 0.0000) (multiplicity 3)  6 Sb 2.74
Sb (0.0000, 0.0000, 0.4077) (multiplicity 6)  1 Ru 2.55, 3 V 2.74
Ru (0.0000, 0.0000, 0.5000) (multiplicity 3)  2 Sb 2.55

## Properties
Formation energy (no corrections) (eV per atom): 0.436
Density (g/cm3): 8.36
ΔE to the lowest computed polymorph (eV per atom): 0.312



No. 11
This record from Alexandria via LeMat-Bulk describes a geometry-optimized VSbRu3 structure. The functional is GGA-PBE.

Unit cell a=4.7690 b=4.7690 c=4.7690 alpha=90.00 beta=90.00 gamma=90.00
Last column: nearest neighbours and their distance in Å.
Space group Pm-3m (No. 221)
Inequivalent atoms, fractional coordinates:
V (0.0000, 0.0000, 0.0000) (multiplicity 1)  12 Ru 3.37
Sb (0.5000, 0.5000, 0.5000) (multiplicity 1)  6 Ru 2.38
Ru (0.0000, 0.5000, 0.5000) (multiplicity 3)  2 Sb 2.38

## Properties
Formation energy (no corrections) (eV per atom): 1.645
Density (g/cm3): 7.29
ΔE to the lowest computed polymorph (eV per atom): 0.687



No. 12
This record from Alexandria via LeMat-Bulk describes a geometry-optimized VSbRu structure. The functional is GGA-PBE.

Unit cell a=2.8843 b=2.8843 c=14.2453 alpha=90.00 beta=90.00 gamma=90.00
Last column: nearest neighbours and their distance in Å.
Space group I4mm (No. 107)
Inequivalent atoms, fractional coordinates:
V (0.0000, 0.0000, 0.0000) (multiplicity 2)  1 Ru 2.10
Sb (0.0000, 0.0000, 0.6457) (multiplicity 2)  4 Sb 2.88, 4 V 2.91, 1 Ru 2.95
Ru (0.0000, 0.0000, 0.8525) (multiplicity 2)  1 V 2.10

## Properties
Formation energy (no corrections) (eV per atom): 0.697
Density (g/cm3): 7.67



> Which of these has the highest formation energy (no corrections)?

VSbRu3